DFT (GGA-PBE) results for a relaxed structure of SmCdSe2.

The structure in extended XYZ format:
```
4
Lattice="-2.947 0.397 -3.010 -4.017 -1.043 0.823 -3.885 7.852 1.866" Properties=species:S:1:pos:R:3 pbc="T T T"
Se -3.395 5.327 1.054
Se -7.454 1.879 -1.375
Sm -5.425 3.603 -0.161
Cd 0.000 0.000 0.000
```

Values from the calculation:
**Symmetry**: R-3m, No. 166
**E_form (uncorrected)**: -1.075 eV/atom
**Uncorrected energy**: -4.226 eV per atom
**Volume**: 33.40 A^3/atom